## GdCu2Au (PBE)

Data for an optimized crystal structure of GdCu2Au.

Geometry as POSCAR:
```
GdCu2Au
1.0
-0.5335 1.0250 -4.2910
3.3820 -0.4953 -2.8398
-0.3361 -3.9146 -3.1944
Gd Au Cu
1 1 2
direct
0.0000 0.0000 0.0000 Gd
0.5000 0.5000 0.5000 Au
0.2163 0.2163 0.3512 Cu
0.7837 0.7837 0.6488 Cu
```

Values from the calculation:
E = -6.700 eV per atom

## TaTi4Fe5 (PBE)

Data for an optimized crystal structure of TaTi4Fe5.

Geometry as POSCAR:
```
TaTi4Fe5
1.0
2.9752 0.0000 0.0000
0.0000 2.9752 0.0000
0.0000 0.0000 14.9003
Fe Ti Ta
5 4 1
direct
0.5000 0.5000 0.8956 Fe
0.5000 0.5000 0.5000 Fe
0.5000 0.5000 0.1044 Fe
0.5000 0.5000 0.3024 Fe
0.5000 0.5000 0.6976 Fe
0.0000 0.0000 0.7963 Ti
0.0000 0.0000 0.4012 Ti
0.0000 0.0000 0.2037 Ti
0.0000 0.0000 0.5988 Ti
0.0000 0.0000 0.0000 Ta
```

Values from the calculation:
E = -8.926 eV per atom

Among the records above, which one has the lowest E?
TaTi4Fe5